Sr2CeCoO6 after structural relaxation. Source: Alexandria via LeMat-Bulk, functional PBE+U.

The distance to the lowest polymorph of the same formula is 0.0000 eV per atom.

It has space group P2_1/c (No. 14), with a = 5.781 Å, b = 5.741 Å, c = 9.937 Å, α = 90.00°, β = 125.13° and γ = 90.00°. The inequivalent atoms are Sr at (0.242, 0.018, 0.248), Ce at (0.500, 0.000, 0.000), Co at (0.000, 0.000, 0.500), O at (0.180, 0.247, 0.970), O at (0.220, 0.712, 0.969) and O at (0.289, 0.007, 0.731).